Material: Sm2NbF
Method: DFT, PBE-GGA
State: optimized geometry

```
data_Sm2NbF
_symmetry_space_group_name_H-M 'R -3 m'
_symmetry_Int_Tables_number 166
_symmetry_space_group_name_Hall '-R 3 2"'
_cell_length_a 3.1859
_cell_length_b 3.1859
_cell_length_c 29.6880
_cell_angle_alpha 90.00
_cell_angle_beta 90.00
_cell_angle_gamma 120.00
loop_
_atom_site_label
_atom_site_type_symbol
_atom_site_fract_x
_atom_site_fract_y
_atom_site_fract_z
Sm1 Sm 0.0000 0.0000 0.1008
Nb1 Nb 0.0000 0.0000 0.0000
F1 F 0.0000 0.0000 0.5000
```

Calculated values
- magnetization (μB/atom) = 0.2757
- E_tot (eV/atom) = -5.953
- E_form (uncorrected) (eV per atom) = -0.61
- Fermi-level density of states (states/eV per cell) = 9.82

---

Material: NbSnF6
Method: DFT, PBE-GGA
State: optimized geometry

```
data_NbSnF6
_symmetry_space_group_name_H-M 'C 1 2/m 1'
_symmetry_Int_Tables_number 12
_symmetry_space_group_name_Hall '-C 2y'
_cell_length_a 8.299
_cell_length_b 6.647
_cell_length_c 5.489
_cell_angle_alpha 90.00
_cell_angle_beta 112.37
_cell_angle_gamma 90.00
loop_
_atom_site_label
_atom_site_type_symbol
_atom_site_fract_x
_atom_site_fract_y
_atom_site_fract_z
Nb1 Nb 0.000 0.000 0.000
Sn1 Sn 0.000 0.500 0.500
F1 F 0.065 0.219 0.275
F2 F 0.245 0.500 0.931
```

Calculated values
- magnetization (μB/atom) = 0.1252
- E_tot (eV/atom) = -5.807
- E_form (uncorrected) (eV per atom) = -2.64
- Fermi-level density of states (states/eV per cell) = 6.62

---

Material: NbSnF2
Method: DFT, PBE-GGA
State: optimized geometry

```
data_NbSnF2
_symmetry_space_group_name_H-M 'F m -3 m'
_symmetry_Int_Tables_number 225
_symmetry_space_group_name_Hall '-F 4 2 3'
_cell_length_a 6.225
_cell_length_b 6.225
_cell_length_c 6.225
_cell_angle_alpha 90.00
_cell_angle_beta 90.00
_cell_angle_gamma 90.00
loop_
_atom_site_label
_atom_site_type_symbol
_atom_site_fract_x
_atom_site_fract_y
_atom_site_fract_z
Nb1 Nb 0.000 0.000 0.000
Sn1 Sn 0.000 0.000 0.500
F1 F 0.250 0.250 0.250
```

Calculated values
- magnetization (μB/atom) = 0.0000
- E_tot (eV/atom) = -5.177
- E_form (uncorrected) (eV per atom) = -0.72
- Fermi-level density of states (states/eV per cell) = 8.38

---

Material: NbSnF2
Method: DFT, PBE-GGA
State: optimized geometry

```
data_NbSnF2
_symmetry_space_group_name_H-M 'R -3 m'
_symmetry_Int_Tables_number 166
_symmetry_space_group_name_Hall '-R 3 2"'
_cell_length_a 2.9540
_cell_length_b 2.9540
_cell_length_c 31.0608
_cell_angle_alpha 90.00
_cell_angle_beta 90.00
_cell_angle_gamma 120.00
loop_
_atom_site_label
_atom_site_type_symbol
_atom_site_fract_x
_atom_site_fract_y
_atom_site_fract_z
Nb1 Nb 0.0000 0.0000 0.0000
Sn1 Sn 0.0000 0.0000 0.5000
F1 F 0.0000 0.0000 0.3814
```

Calculated values
- magnetization (μB/atom) = 0.0000
- E_tot (eV/atom) = -5.898
- E_form (uncorrected) (eV per atom) = -1.44
- Fermi-level density of states (states/eV per cell) = 4.95

---

Material: NbSn2F
Method: DFT, PBE-GGA
State: optimized geometry

```
data_NbSn2F
_symmetry_space_group_name_H-M 'F m -3 m'
_symmetry_Int_Tables_number 225
_symmetry_space_group_name_Hall '-F 4 2 3'
_cell_length_a 6.863
_cell_length_b 6.863
_cell_length_c 6.863
_cell_angle_alpha 90.00
_cell_angle_beta 90.00
_cell_angle_gamma 90.00
loop_
_atom_site_label
_atom_site_type_symbol
_atom_site_fract_x
_atom_site_fract_y
_atom_site_fract_z
Nb1 Nb 0.000 0.000 0.000
Sn1 Sn 0.250 0.250 0.250
F1 F 0.000 0.000 0.500
```

Calculated values
- magnetization (μB/atom) = 0.4546
- E_tot (eV/atom) = -5.110
- E_form (uncorrected) (eV per atom) = -0.12
- Fermi-level density of states (states/eV per cell) = 14.25

---

Material: Nb2SnF
Method: DFT, PBE-GGA
State: optimized geometry

```
data_Nb2SnF
_symmetry_space_group_name_H-M 'F m -3 m'
_symmetry_Int_Tables_number 225
_symmetry_space_group_name_Hall '-F 4 2 3'
_cell_length_a 6.550
_cell_length_b 6.550
_cell_length_c 6.550
_cell_angle_alpha 90.00
_cell_angle_beta 90.00
_cell_angle_gamma 90.00
loop_
_atom_site_label
_atom_site_type_symbol
_atom_site_fract_x
_atom_site_fract_y
_atom_site_fract_z
Nb1 Nb 0.250 0.250 0.250
Sn1 Sn 0.000 0.000 0.000
F1 F 0.000 0.000 0.500
```

Calculated values
- magnetization (μB/atom) = 0.0000
- E_tot (eV/atom) = -6.695
- E_form (uncorrected) (eV per atom) = -0.19
- Fermi-level density of states (states/eV per cell) = 18.70

---

Material: NbSnF2
Method: DFT, PBE-GGA
State: optimized geometry

```
data_NbSnF2
_symmetry_space_group_name_H-M 'I -4 2 d'
_symmetry_Int_Tables_number 122
_symmetry_space_group_name_Hall 'I -4 2bw'
_cell_length_a 4.155
_cell_length_b 4.155
_cell_length_c 15.176
_cell_angle_alpha 90.00
_cell_angle_beta 90.00
_cell_angle_gamma 90.00
loop_
_atom_site_label
_atom_site_type_symbol
_atom_site_fract_x
_atom_site_fract_y
_atom_site_fract_z
Nb1 Nb 0.000 0.000 0.000
Sn1 Sn 0.000 0.000 0.500
F1 F 0.148 0.250 0.125
```

Calculated values
- magnetization (μB/atom) = 0.0000
- E_tot (eV/atom) = -5.668
- E_form (uncorrected) (eV per atom) = -1.21
- Fermi-level density of states (states/eV per cell) = 9.43

---

Material: Nb2SnF
Method: DFT, PBE-GGA
State: optimized geometry

```
data_Nb2SnF
_symmetry_space_group_name_H-M 'I -4 2 d'
_symmetry_Int_Tables_number 122
_symmetry_space_group_name_Hall 'I -4 2bw'
_cell_length_a 4.878
_cell_length_b 4.878
_cell_length_c 14.536
_cell_angle_alpha 90.00
_cell_angle_beta 90.00
_cell_angle_gamma 90.00
loop_
_atom_site_label
_atom_site_type_symbol
_atom_site_fract_x
_atom_site_fract_y
_atom_site_fract_z
Nb1 Nb 0.028 0.250 0.125
Sn1 Sn 0.000 0.000 0.500
F1 F 0.000 0.000 0.000
```

Calculated values
- magnetization (μB/atom) = 0.0000
- E_tot (eV/atom) = -6.456
- E_form (uncorrected) (eV per atom) = 0.05
- Fermi-level density of states (states/eV per cell) = 14.91

---

Material: NbSn3F
Method: DFT, PBE-GGA
State: optimized geometry

```
data_NbSn3F
_symmetry_space_group_name_H-M 'P m -3 m'
_symmetry_Int_Tables_number 221
_symmetry_space_group_name_Hall '-P 4 2 3'
_cell_length_a 5.340
_cell_length_b 5.340
_cell_length_c 5.340
_cell_angle_alpha 90.00
_cell_angle_beta 90.00
_cell_angle_gamma 90.00
loop_
_atom_site_label
_atom_site_type_symbol
_atom_site_fract_x
_atom_site_fract_y
_atom_site_fract_z
Nb1 Nb 0.000 0.000 0.000
Sn1 Sn 0.000 0.000 0.500
F1 F 0.500 0.500 0.500
```

Calculated values
- magnetization (μB/atom) = 0.0000
- E_tot (eV/atom) = -4.825
- E_form (uncorrected) (eV per atom) = -0.04
- Fermi-level density of states (states/eV per cell) = 2.93

---

Material: NbSn2F
Method: DFT, PBE-GGA
State: optimized geometry

```
data_NbSn2F
_symmetry_space_group_name_H-M 'I -4 2 d'
_symmetry_Int_Tables_number 122
_symmetry_space_group_name_Hall 'I -4 2bw'
_cell_length_a 7.031
_cell_length_b 7.031
_cell_length_c 6.452
_cell_angle_alpha 90.00
_cell_angle_beta 90.00
_cell_angle_gamma 90.00
loop_
_atom_site_label
_atom_site_type_symbol
_atom_site_fract_x
_atom_site_fract_y
_atom_site_fract_z
Nb1 Nb 0.000 0.000 0.000
Sn1 Sn 0.194 0.250 0.625
F1 F 0.000 0.000 0.500
```

Calculated values
- magnetization (μB/atom) = 0.0000
- E_tot (eV/atom) = -5.262
- E_form (uncorrected) (eV per atom) = -0.28
- Fermi-level density of states (states/eV per cell) = 10.34

---

Material: NbSn3F
Method: DFT, PBE-GGA
State: optimized geometry

```
data_NbSn3F
_symmetry_space_group_name_H-M 'P m -3 m'
_symmetry_Int_Tables_number 221
_symmetry_space_group_name_Hall '-P 4 2 3'
_cell_length_a 4.788
_cell_length_b 4.788
_cell_length_c 4.788
_cell_angle_alpha 90.00
_cell_angle_beta 90.00
_cell_angle_gamma 90.00
loop_
_atom_site_label
_atom_site_type_symbol
_atom_site_fract_x
_atom_site_fract_y
_atom_site_fract_z
Nb1 Nb 0.000 0.000 0.000
Sn1 Sn 0.000 0.500 0.500
F1 F 0.500 0.500 0.500
```

Calculated values
- magnetization (μB/atom) = 0.3390
- E_tot (eV/atom) = -4.823
- E_form (uncorrected) (eV per atom) = -0.03
- Fermi-level density of states (states/eV per cell) = 4.02

---

Material: Nb3SnF
Method: DFT, PBE-GGA
State: optimized geometry

```
data_Nb3SnF
_symmetry_space_group_name_H-M 'P m -3 m'
_symmetry_Int_Tables_number 221
_symmetry_space_group_name_Hall '-P 4 2 3'
_cell_length_a 5.150
_cell_length_b 5.150
_cell_length_c 5.150
_cell_angle_alpha 90.00
_cell_angle_beta 90.00
_cell_angle_gamma 90.00
loop_
_atom_site_label
_atom_site_type_symbol
_atom_site_fract_x
_atom_site_fract_y
_atom_site_fract_z
Nb1 Nb 0.000 0.000 0.500
Sn1 Sn 0.000 0.000 0.000
F1 F 0.500 0.500 0.500
```

Calculated values
- magnetization (μB/atom) = 0.4041
- E_tot (eV/atom) = -5.433
- E_form (uncorrected) (eV per atom) = 1.78
- Fermi-level density of states (states/eV per cell) = 7.48

---

Material: TaNbSnF2
Method: DFT, PBE-GGA
State: optimized geometry

```
data_TaNbSnF2
_symmetry_space_group_name_H-M 'P 4/m m m'
_symmetry_Int_Tables_number 123
_symmetry_space_group_name_Hall '-P 4 2'
_cell_length_a 4.085
_cell_length_b 4.085
_cell_length_c 6.138
_cell_angle_alpha 90.00
_cell_angle_beta 90.00
_cell_angle_gamma 90.00
loop_
_atom_site_label
_atom_site_type_symbol
_atom_site_fract_x
_atom_site_fract_y
_atom_site_fract_z
Ta1 Ta 0.000 0.000 0.000
Nb1 Nb 0.500 0.500 0.500
Sn1 Sn 0.500 0.500 0.000
F1 F 0.000 0.500 0.500
```

Calculated values
- magnetization (μB/atom) = 0.7873
- E_tot (eV/atom) = -6.473
- E_form (uncorrected) (eV per atom) = -0.54
- Fermi-level density of states (states/eV per cell) = 4.55

---

Material: TaNb2SnF
Method: DFT, PBE-GGA
State: optimized geometry

```
data_TaNb2SnF
_symmetry_space_group_name_H-M 'P 4/m m m'
_symmetry_Int_Tables_number 123
_symmetry_space_group_name_Hall '-P 4 2'
_cell_length_a 5.084
_cell_length_b 5.084
_cell_length_c 3.982
_cell_angle_alpha 90.00
_cell_angle_beta 90.00
_cell_angle_gamma 90.00
loop_
_atom_site_label
_atom_site_type_symbol
_atom_site_fract_x
_atom_site_fract_y
_atom_site_fract_z
Ta1 Ta 0.000 0.000 0.000
Nb1 Nb 0.000 0.500 0.000
Sn1 Sn 0.500 0.500 0.500
F1 F 0.000 0.000 0.500
```

Calculated values
- magnetization (μB/atom) = 0.0000
- E_tot (eV/atom) = -7.336
- E_form (uncorrected) (eV per atom) = 0.24
- Fermi-level density of states (states/eV per cell) = 3.98

---

Material: SrNbF3
Method: DFT, PBE-GGA
State: optimized geometry

```
data_SrNbF3
_symmetry_space_group_name_H-M 'P m -3 m'
_symmetry_Int_Tables_number 221
_symmetry_space_group_name_Hall '-P 4 2 3'
_cell_length_a 4.702
_cell_length_b 4.702
_cell_length_c 4.702
_cell_angle_alpha 90.00
_cell_angle_beta 90.00
_cell_angle_gamma 90.00
loop_
_atom_site_label
_atom_site_type_symbol
_atom_site_fract_x
_atom_site_fract_y
_atom_site_fract_z
Sr1 Sr 0.000 0.000 0.000
Nb1 Nb 0.500 0.500 0.500
F1 F 0.000 0.000 0.500
```

Calculated values
- magnetization (μB/atom) = 0.8000
- E_tot (eV/atom) = -5.253
- E_form (uncorrected) (eV per atom) = -1.78
- Fermi-level density of states (states/eV per cell) = 9.81

---

Material: SrNbF6
Method: DFT, PBE-GGA
State: optimized geometry

```
data_SrNbF6
_symmetry_space_group_name_H-M 'P 3 1 2'
_symmetry_Int_Tables_number 149
_symmetry_space_group_name_Hall 'P 3 2'
_cell_length_a 5.5469
_cell_length_b 5.5469
_cell_length_c 5.4406
_cell_angle_alpha 90.00
_cell_angle_beta 90.00
_cell_angle_gamma 120.00
loop_
_atom_site_label
_atom_site_type_symbol
_atom_site_fract_x
_atom_site_fract_y
_atom_site_fract_z
Sr1 Sr 0.0000 0.0000 0.0000
Nb1 Nb 0.6667 0.3333 0.5000
F1 F 0.3711 0.0502 0.7241
```

Calculated values
- magnetization (μB/atom) = 0.1250
- E_tot (eV/atom) = -6.180
- E_form (uncorrected) (eV per atom) = -3.31
- Fermi-level density of states (states/eV per cell) = 7.06

---

Material: SrNbF2
Method: DFT, PBE-GGA
State: optimized geometry

```
data_SrNbF2
_symmetry_space_group_name_H-M 'R -3 m'
_symmetry_Int_Tables_number 166
_symmetry_space_group_name_Hall '-R 3 2"'
_cell_length_a 3.2295
_cell_length_b 3.2295
_cell_length_c 23.9800
_cell_angle_alpha 90.00
_cell_angle_beta 90.00
_cell_angle_gamma 120.00
loop_
_atom_site_label
_atom_site_type_symbol
_atom_site_fract_x
_atom_site_fract_y
_atom_site_fract_z
Sr1 Sr 0.0000 0.0000 0.0000
Nb1 Nb 0.0000 0.0000 0.5000
F1 F 0.0000 0.0000 0.1015
```

Calculated values
- magnetization (μB/atom) = 0.0000
- E_tot (eV/atom) = -5.033
- E_form (uncorrected) (eV per atom) = -1.16
- Fermi-level density of states (states/eV per cell) = 6.41

---

Material: SrNbF2
Method: DFT, PBE-GGA
State: optimized geometry

```
data_SrNbF2
_symmetry_space_group_name_H-M 'F m -3 m'
_symmetry_Int_Tables_number 225
_symmetry_space_group_name_Hall '-F 4 2 3'
_cell_length_a 6.710
_cell_length_b 6.710
_cell_length_c 6.710
_cell_angle_alpha 90.00
_cell_angle_beta 90.00
_cell_angle_gamma 90.00
loop_
_atom_site_label
_atom_site_type_symbol
_atom_site_fract_x
_atom_site_fract_y
_atom_site_fract_z
Sr1 Sr 0.000 0.000 0.000
Nb1 Nb 0.000 0.000 0.500
F1 F 0.250 0.250 0.250
```

Calculated values
- magnetization (μB/atom) = 1.1924
- E_tot (eV/atom) = -4.852
- E_form (uncorrected) (eV per atom) = -0.98
- Fermi-level density of states (states/eV per cell) = 25.16

---

Material: SrNbF3
Method: DFT, PBE-GGA
State: optimized geometry

```
data_SrNbF3
_symmetry_space_group_name_H-M 'P m -3 m'
_symmetry_Int_Tables_number 221
_symmetry_space_group_name_Hall '-P 4 2 3'
_cell_length_a 4.525
_cell_length_b 4.525
_cell_length_c 4.525
_cell_angle_alpha 90.00
_cell_angle_beta 90.00
_cell_angle_gamma 90.00
loop_
_atom_site_label
_atom_site_type_symbol
_atom_site_fract_x
_atom_site_fract_y
_atom_site_fract_z
Sr1 Sr 0.000 0.000 0.000
Nb1 Nb 0.500 0.500 0.500
F1 F 0.000 0.500 0.500
```

Calculated values
- magnetization (μB/atom) = 0.6610
- E_tot (eV/atom) = -5.483
- E_form (uncorrected) (eV per atom) = -2.01
- Fermi-level density of states (states/eV per cell) = 1.82

---

Material: SrNbF2
Method: DFT, PBE-GGA
State: optimized geometry

```
data_SrNbF2
_symmetry_space_group_name_H-M 'R -3 m'
_symmetry_Int_Tables_number 166
_symmetry_space_group_name_Hall '-R 3 2"'
_cell_length_a 3.7378
_cell_length_b 3.7378
_cell_length_c 19.2030
_cell_angle_alpha 90.00
_cell_angle_beta 90.00
_cell_angle_gamma 120.00
loop_
_atom_site_label
_atom_site_type_symbol
_atom_site_fract_x
_atom_site_fract_y
_atom_site_fract_z
Sr1 Sr 0.0000 0.0000 0.0000
Nb1 Nb 0.0000 0.0000 0.5000
F1 F 0.0000 0.0000 0.3851
```

Calculated values
- magnetization (μB/atom) = 0.0000
- E_tot (eV/atom) = -5.698
- E_form (uncorrected) (eV per atom) = -1.82
- Fermi-level density of states (states/eV per cell) = 10.56

---

Material: SrNbF2
Method: DFT, PBE-GGA
State: optimized geometry

```
data_SrNbF2
_symmetry_space_group_name_H-M 'I -4 2 d'
_symmetry_Int_Tables_number 122
_symmetry_space_group_name_Hall 'I -4 2bw'
_cell_length_a 5.545
_cell_length_b 5.545
_cell_length_c 10.937
_cell_angle_alpha 90.00
_cell_angle_beta 90.00
_cell_angle_gamma 90.00
loop_
_atom_site_label
_atom_site_type_symbol
_atom_site_fract_x
_atom_site_fract_y
_atom_site_fract_z
Sr1 Sr 0.000 0.000 0.000
Nb1 Nb 0.000 0.000 0.500
F1 F 0.240 0.250 0.625
```

Calculated values
- magnetization (μB/atom) = 0.7500
- E_tot (eV/atom) = -5.321
- E_form (uncorrected) (eV per atom) = -1.45
- Fermi-level density of states (states/eV per cell) = 22.02